[1]
{"formula": "Fe2Pd2PtRh", "functional": "GGA-PBE", "state": "relaxed", "ef_ev_per_atom": -0.114, "dos_at_fermi_per_ev_atom": 0.938, "m_tot_mub_per_atom": 1.3607, "cell": [[3.933, 0.000, 0.000], [0.000, 5.435, 0.000], [0.000, 0.000, 8.085]], "species": ["Pd", "Fe", "Pd", "Pd", "Pt", "Pd", "Rh", "Fe", "Rh", "Pt", "Fe", "Fe"], "fractional_positions": [[0.000, 0.864, 0.827], [0.500, 0.654, 0.653], [0.000, 0.364, 0.173], [0.500, 0.104, 0.015], [0.500, 0.649, 0.328], [0.500, 0.604, 0.985], [0.000, 0.411, 0.517], [0.000, 0.862, 0.164], [0.000, 0.911, 0.483], [0.500, 0.149, 0.672], [0.000, 0.362, 0.836], [0.500, 0.154, 0.347]]}

=====

[2]
{"formula": "Fe2Pd2Pt2Rh", "functional": "GGA-PBE", "state": "relaxed", "ef_ev_per_atom": 0.027, "dos_at_fermi_per_ev_atom": 0.977, "m_tot_mub_per_atom": 1.1930, "cell": [[3.814, 0.000, 0.000], [-1.907, 4.096, -0.741], [0.000, -2.724, 7.439]], "species": ["Pt", "Pd", "Fe", "Rh", "Pt", "Pd", "Fe"], "fractional_positions": [[0.105, 0.210, 0.392], [0.633, 0.266, 0.859], [0.280, 0.559, 0.757], [0.000, 0.000, 0.000], [0.895, 0.790, 0.608], [0.367, 0.734, 0.141], [0.720, 0.441, 0.243]]}

=====

[3]
{"formula": "Ti2FePdPt5", "functional": "GGA-PBE", "state": "relaxed", "ef_ev_per_atom": -0.133, "dos_at_fermi_per_ev_atom": 0.836, "m_tot_mub_per_atom": 0.4318, "cell": [[7.417, 0.000, 0.000], [0.000, 7.417, 0.000], [-3.708, -3.708, 5.433]], "species": ["Pt", "Ti", "Pt", "Fe", "Pt", "Pt", "Pt", "Ti", "Pt", "Pd", "Pt", "Pd", "Fe", "Pt", "Pt", "Ti", "Pt", "Ti"], "fractional_positions": [[0.079, 0.579, 0.737], [0.112, 0.388, 0.000], [0.843, 0.921, 0.263], [0.250, 0.250, 0.500], [0.579, 0.657, 0.737], [0.343, 0.843, 0.263], [0.657, 0.157, 0.737], [0.888, 0.612, 0.000], [0.921, 0.421, 0.263], [0.250, 0.750, 0.500], [0.421, 0.343, 0.263], [0.750, 0.250, 0.500], [0.750, 0.750, 0.500], [0.157, 0.079, 0.737], [0.000, 0.000, 0.000], [0.388, 0.888, 0.000], [0.500, 0.500, 0.000], [0.612, 0.112, 0.000]]}

=====

[4]
{"formula": "Ti2FePdPt", "functional": "GGA-PBE", "state": "relaxed", "ef_ev_per_atom": 0.218, "dos_at_fermi_per_ev_atom": 1.186, "m_tot_mub_per_atom": 0.0013, "cell": [[4.317, 0.000, 0.000], [0.000, 4.317, 0.000], [0.000, 0.000, 4.625]], "species": ["Pd", "Ti", "Fe", "Ti", "Pt"], "fractional_positions": [[0.500, 0.500, 0.500], [0.000, 0.500, 0.000], [0.000, 0.000, 0.000], [0.500, 0.000, 0.000], [0.000, 0.000, 0.500]]}

=====

[5]
{"formula": "ZnFe2Pd5Pt2", "functional": "GGA-PBE", "state": "relaxed", "ef_ev_per_atom": -0.058, "dos_at_fermi_per_ev_atom": 0.611, "m_tot_mub_per_atom": 0.8867, "cell": [[3.951, 0.000, 0.000], [0.000, 8.840, 0.000], [0.000, 0.000, 8.840]], "species": ["Pd", "Fe", "Zn", "Pd", "Fe", "Fe", "Pt", "Pd", "Zn", "Pd", "Pd", "Pd", "Pd", "Pd", "Pt", "Pt", "Fe", "Pd", "Pt", "Pd"], "fractional_positions": [[0.500, 0.589, 0.693], [0.000, 0.130, 0.630], [0.000, 0.500, 0.500], [0.500, 0.500, 0.000], [0.000, 0.630, 0.870], [0.000, 0.870, 0.370], [0.000, 0.665, 0.165], [0.500, 0.089, 0.807], [0.000, 0.000, 0.000], [0.500, 0.911, 0.193], [0.500, 0.411, 0.307], [0.500, 0.693, 0.411], [0.500, 0.000, 0.500], [0.500, 0.807, 0.911], [0.000, 0.335, 0.835], [0.000, 0.165, 0.335], [0.000, 0.370, 0.130], [0.500, 0.307, 0.589], [0.000, 0.835, 0.665], [0.500, 0.193, 0.089]]}

=====

[6]
{"formula": "PuFePd6", "functional": "GGA-PBE", "state": "relaxed", "ef_ev_per_atom": -0.301, "dos_at_fermi_per_ev_atom": 2.029, "m_tot_mub_per_atom": 1.0874, "cell": [[-3.226, 1.621, -1.830], [-2.378, -2.785, 1.724], [-1.119, 4.820, 6.244]], "species": ["Pd", "Fe", "Pd", "Pd", "Pd", "Pu", "Pd", "Pd"], "fractional_positions": [[0.000, 0.500, 0.735], [0.000, 0.000, 0.500], [0.500, 0.000, 0.735], [0.500, 0.500, 0.000], [0.000, 0.500, 0.265], [0.000, 0.000, 0.000], [0.500, 0.500, 0.500], [0.500, 0.000, 0.265]]}

=====

[7]
{"formula": "Pu2FePd", "functional": "GGA-PBE", "state": "relaxed", "ef_ev_per_atom": -0.149, "dos_at_fermi_per_ev_atom": 3.097, "m_tot_mub_per_atom": 2.2970, "cell": [[3.336, 0.000, 0.000], [0.000, 3.336, 0.000], [0.000, 0.000, 7.161]], "species": ["Pu", "Pd", "Fe", "Pu"], "fractional_positions": [[0.000, 0.000, 0.768], [0.500, 0.500, 0.500], [0.500, 0.500, 0.000], [0.000, 0.000, 0.232]]}

=====

[8]
{"formula": "PuFe4Pd", "functional": "GGA-PBE", "state": "relaxed", "ef_ev_per_atom": 0.162, "dos_at_fermi_per_ev_atom": 3.331, "m_tot_mub_per_atom": 2.3201, "cell": [[-1.765, -2.999, -3.567], [3.107, -2.971, -2.520], [-0.128, -4.928, 0.726]], "species": ["Pu", "Fe", "Fe", "Fe", "Fe", "Pd"], "fractional_positions": [[0.250, 0.250, 0.250], [0.625, 0.124, 0.625], [0.124, 0.625, 0.625], [0.625, 0.625, 0.124], [0.625, 0.625, 0.625], [0.000, 0.000, 0.000]]}

=====

[9]
{"formula": "PuThFePd", "functional": "GGA-PBE", "state": "relaxed", "ef_ev_per_atom": -0.149, "dos_at_fermi_per_ev_atom": 2.664, "m_tot_mub_per_atom": 1.0864, "cell": [[4.955, 0.000, 0.000], [2.477, 4.291, 0.000], [2.477, 1.430, 4.046]], "species": ["Fe", "Pd", "Pu", "Th"], "fractional_positions": [[0.250, 0.250, 0.250], [0.750, 0.750, 0.750], [0.500, 0.500, 0.500], [0.000, 0.000, 0.000]]}

=====

[10]
{"formula": "PuUFePd", "functional": "GGA-PBE", "state": "relaxed", "ef_ev_per_atom": -0.243, "dos_at_fermi_per_ev_atom": 0.623, "m_tot_mub_per_atom": 1.0182, "cell": [[-3.974, 2.203, -0.574], [-2.409, -0.587, -3.851], [-3.943, -2.327, 0.098]], "species": ["Fe", "U", "Pd", "Pu"], "fractional_positions": [[0.000, 0.000, 0.000], [0.250, 0.250, 0.250], [0.750, 0.750, 0.750], [0.500, 0.500, 0.500]]}

=====

[11]
{"formula": "Rb2FePd", "functional": "GGA-PBE", "state": "relaxed", "ef_ev_per_atom": 1.002, "dos_at_fermi_per_ev_atom": 0.748, "m_tot_mub_per_atom": 0.9437, "cell": [[0.000, 4.112, 4.112], [4.112, 0.000, 4.112], [4.112, 4.112, 0.000]], "species": ["Rb", "Rb", "Pd", "Fe"], "fractional_positions": [[0.750, 0.750, 0.750], [0.250, 0.250, 0.250], [0.500, 0.500, 0.500], [0.000, 0.000, 0.000]]}

=====

[12]
{"formula": "RbFe2Pd", "functional": "GGA-PBE", "state": "relaxed", "de_polymorph_mev_per_atom": 0.0, "ef_ev_per_atom": 0.888, "dos_at_fermi_per_ev_atom": 1.763, "m_tot_mub_per_atom": 1.6398, "cell": [[4.958, 0.000, 0.000], [0.000, 4.958, 0.000], [2.479, 2.479, 8.745]], "species": ["Pd", "Fe", "Rb", "Rb", "Pd", "Fe", "Fe", "Fe"], "fractional_positions": [[0.000, 0.000, 0.000], [0.875, 0.126, 0.750], [0.250, 0.750, 0.500], [0.500, 0.500, 0.000], [0.750, 0.250, 0.500], [0.876, 0.125, 0.250], [0.874, 0.625, 0.250], [0.375, 0.124, 0.750]]}

=====

Number 1: electronic total energy -6.8977 eV per atom. Number 2: electronic total energy -6.6504 eV per atom. Number 3: electronic total energy -6.7611 eV per atom. Number 4: electronic total energy -6.8790 eV per atom. Number 5: electronic total energy -5.6830 eV per atom. Number 6: electronic total energy -7.0454 eV per atom. Number 7: electronic total energy -10.7284 eV per atom. Number 8: electronic total energy -8.7343 eV per atom. Number 9: electronic total energy -9.0012 eV per atom. Number 10: electronic total energy -10.0623 eV per atom. Number 11: electronic total energy -2.8958 eV per atom. Number 12: electronic total energy -4.8838 eV per atom.